This record from Alexandria via LeMat-Bulk describes a relaxed structure of Hf3Fe2Ge3. The functional is PBE.

a = 5.1776 Å, b = 7.6479 Å, c = 13.2247 Å
α = 90.00°, β = 90.00°, γ = 90.00°
Last column: nearest neighbours and their distance in Å.
Fractional coordinates of all 32 atoms:
Hf1 0.1084 0.4580 0.3849  2 Fe 2.73-2.75, 5 Ge 2.79-3.03
Hf2 0.6084 0.0420 0.6151  2 Fe 2.73-2.75, 5 Ge 2.79-3.03
Hf3 0.8916 0.5420 0.8849  2 Fe 2.73-2.75, 5 Ge 2.79-3.03
Hf4 0.3916 0.9580 0.1151  2 Fe 2.73-2.75, 5 Ge 2.79-3.03
Hf5 0.8916 0.5420 0.6151  2 Fe 2.73-2.75, 5 Ge 2.79-3.03
Hf6 0.3916 0.9580 0.3849  2 Fe 2.73-2.75, 5 Ge 2.79-3.03
Hf7 0.1084 0.4580 0.1151  2 Fe 2.73-2.75, 5 Ge 2.79-3.03
Hf8 0.6084 0.0420 0.8849  2 Fe 2.73-2.75, 5 Ge 2.79-3.03
Hf9 0.6294 0.3211 0.2500  5 Ge 2.78-2.93, 4 Fe 2.80-3.10
Hf10 0.1294 0.1789 0.7500  5 Ge 2.78-2.93, 4 Fe 2.80-3.10
Hf11 0.3706 0.6789 0.7500  5 Ge 2.78-2.93, 4 Fe 2.80-3.10
Hf12 0.8706 0.8211 0.2500  5 Ge 2.78-2.93, 4 Fe 2.80-3.10
Fe1 0.8895 0.0709 0.4042  4 Ge 2.27-2.46
Fe2 0.3895 0.4291 0.5958  4 Ge 2.27-2.46
Fe3 0.1105 0.9291 0.9042  4 Ge 2.27-2.46
Fe4 0.6105 0.5709 0.0958  4 Ge 2.27-2.46
Fe5 0.1105 0.9291 0.5958  4 Ge 2.27-2.46
Fe6 0.6105 0.5709 0.4042  4 Ge 2.27-2.46
Fe7 0.8895 0.0709 0.0958  4 Ge 2.27-2.46
Fe8 0.3895 0.4291 0.9042  4 Ge 2.27-2.46
Ge1 0.1145 0.1666 0.2500  2 Fe 2.46
Ge2 0.6145 0.3334 0.7500  2 Fe 2.46
Ge3 0.8855 0.8334 0.7500  2 Fe 2.46
Ge4 0.3855 0.6666 0.2500  2 Fe 2.46
Ge5 0.6141 0.2899 0.4598  3 Fe 2.27-2.39
Ge6 0.1141 0.2101 0.5402  3 Fe 2.27-2.39
Ge7 0.3859 0.7101 0.9598  3 Fe 2.27-2.39
Ge8 0.8859 0.7899 0.0402  3 Fe 2.27-2.39
Ge9 0.3859 0.7101 0.5402  3 Fe 2.27-2.39
Ge10 0.8859 0.7899 0.4598  3 Fe 2.27-2.39
Ge11 0.6141 0.2899 0.0402  3 Fe 2.27-2.39
Ge12 0.1141 0.2101 0.9598  3 Fe 2.27-2.39

Properties
The value obtained for the density of states at the Fermi level is 20.502 states/eV/cell. Its magnetization is 0.000 μB per formula unit. As for the total energy: -259.68 eV per cell.